This record from Alexandria via LeMat-Bulk describes crystalline NbBiS2N at its relaxed geometry. The functional is PBE.

Calculated values
total energy = -4.82 eV/atom
formation energy (no corrections) = 1.29 eV per atom
space-group type = P4/mmm, No. 123

POSCAR file:
```
NbBiS2N
1.0
-3.574 -1.574 -3.397
3.379 -3.380 -1.989
-1.309 -2.913 2.727
Bi Nb N S
1 1 1 2
Direct
0.000 0.000 0.000
0.500 0.500 0.500
0.000 0.000 0.500
0.000 0.500 0.000
0.500 0.000 0.000
```